## one
The following is a DFT calculation (PBE) of a geometry-optimized Sn2AsS structure.

a = 7.0750 Å, b = 7.0750 Å, c = 7.0750 Å
α = 90.00°, β = 90.00°, γ = 90.00°
Last column: nearest neighbours and their distance in Å.
Space group Fm-3m (No. 225)
One atom of each set of equivalent atoms:
Sn 0.2500 0.2500 0.2500 (multiplicity 8)  4 As 3.06, 4 S 3.06
As 0.0000 0.0000 0.0000 (multiplicity 4)  8 Sn 3.06
S 0.0000 0.0000 0.5000 (multiplicity 4)  8 Sn 3.06

Properties
magnetization: 0.000 μB/atom



## two
The following is a DFT calculation (PBE) of a geometry-optimized Sn2AsS structure.

a = 4.0987 Å, b = 4.0987 Å, c = 7.7263 Å
α = 90.00°, β = 90.00°, γ = 120.00°
Last column: nearest neighbours and their distance in Å.
Space group P3m1 (No. 156)
One atom of each set of equivalent atoms:
Sn 0.0000 0.0000 0.0000 (multiplicity 1)  3 S 2.77
Sn 0.3333 0.6667 0.5467 (multiplicity 1)  3 As 2.73, 1 S 2.78
As 0.6667 0.3333 0.7232 (multiplicity 1)  3 Sn 2.73
S 0.3333 0.6667 0.1869 (multiplicity 1)  4 Sn 2.77-2.78

Properties
magnetization: 0.000 μB/atom



## three
The following is a DFT calculation (PBE) of a geometry-optimized Sn2AsS structure.

a = 3.9739 Å, b = 3.9739 Å, c = 22.6332 Å
α = 90.00°, β = 90.00°, γ = 120.00°
Last column: nearest neighbours and their distance in Å.
Space group R3m (No. 160, hexagonal axes)
One atom of each set of equivalent atoms:
Sn 0.0000 0.0000 0.0000 (multiplicity 3)  3 S 2.72, 3 As 3.02
Sn 0.0000 0.0000 0.1782 (multiplicity 3)  3 As 2.76
As 0.0000 0.0000 0.5797 (multiplicity 3)  6 Sn 2.76-3.02
S 0.0000 0.0000 0.3979 (multiplicity 3)  3 Sn 2.72

Properties
magnetization: 0.000 μB/atom



## four
The following is a DFT calculation (PBE) of a geometry-optimized Sn2AsS structure.

a = 7.2155 Å, b = 7.2155 Å, c = 8.5055 Å
α = 90.00°, β = 90.00°, γ = 90.00°
Last column: nearest neighbours and their distance in Å.
Space group I-42d (No. 122)
One atom of each set of equivalent atoms:
Sn 0.2475 0.7500 0.1250 (multiplicity 8)  2 S 2.75, 2 As 2.78
As 0.0000 0.0000 0.5000 (multiplicity 4)  4 Sn 2.78
S 0.0000 0.0000 0.0000 (multiplicity 4)  4 Sn 2.75

Properties
magnetization: 0.000 μB/atom



Energies relative to the most stable structure are one 18.8; two 0.0; three 1.1; four 13.3, reported in kJ/mol of atoms.



## one
The following is a DFT calculation (PBE) of a geometry-optimized SnAs2S structure.

a = 6.8671 Å, b = 6.8671 Å, c = 6.8671 Å
α = 90.00°, β = 90.00°, γ = 90.00°
Last column: nearest neighbours and their distance in Å.
Space group Fm-3m (No. 225)
One atom of each set of equivalent atoms:
Sn 0.0000 0.0000 0.0000 (multiplicity 4)  8 As 2.97
As 0.2500 0.2500 0.2500 (multiplicity 8)  4 S 2.97, 4 Sn 2.97
S 0.0000 0.0000 0.5000 (multiplicity 4)  8 As 2.97

Properties
magnetization: 0.000 μB/atom



## two
The following is a DFT calculation (PBE) of a geometry-optimized SnAs2S structure.

a = 5.5335 Å, b = 5.5335 Å, c = 14.3502 Å
α = 90.00°, β = 90.00°, γ = 90.00°
Last column: nearest neighbours and their distance in Å.
Space group I-42d (No. 122)
One atom of each set of equivalent atoms:
Sn 0.0000 0.0000 0.0000 (multiplicity 4)  4 As 2.82
As 0.1965 0.2500 0.6250 (multiplicity 8)  2 S 2.51
S 0.0000 0.0000 0.5000 (multiplicity 4)  4 As 2.51

Properties
magnetization: 0.000 μB/atom



Energies relative to the most stable structure are one 17.8; two 0.0, reported in kJ/mol of atoms.



## one
The following is a DFT calculation (PBE) of a geometry-optimized Sn2AsS2 structure.

a = 5.3567 Å, b = 5.3567 Å, c = 8.5700 Å
α = 90.00°, β = 90.00°, γ = 90.00°
Last column: nearest neighbours and their distance in Å.
Space group I4/mmm (No. 139)
One atom of each set of equivalent atoms:
Sn 0.0000 0.0000 0.1759 (multiplicity 4)  4 S 2.75, 1 As 2.78, 1 Sn 3.01
As 0.0000 0.0000 0.5000 (multiplicity 2)  2 Sn 2.78
S 0.0000 0.5000 0.2500 (multiplicity 4)  4 Sn 2.75

Properties
magnetization: 0.183 μB/atom



## two
The following is a DFT calculation (PBE) of a geometry-optimized Sn2AsS2 structure.

a = 8.0920 Å, b = 8.0920 Å, c = 3.6433 Å
α = 90.00°, β = 90.00°, γ = 90.00°
Last column: nearest neighbours and their distance in Å.
Space group P4/mbm (No. 127)
One atom of each set of equivalent atoms:
Sn 0.2136 0.2864 0.0000 (multiplicity 4)  2 S 2.57
As 0.0000 0.0000 0.0000 (multiplicity 2)  4 Sn 2.89
S 0.1281 0.6281 0.5000 (multiplicity 4)  2 Sn 2.57

Properties
magnetization: 0.000 μB/atom



Energies relative to the most stable structure are one 8.8; two 0.0, reported in kJ/mol of atoms.



## one
The following is a DFT calculation (PBE) of a geometry-optimized SrAs3S structure.

a = 4.9570 Å, b = 4.9570 Å, c = 4.9570 Å
α = 90.00°, β = 90.00°, γ = 90.00°
Last column: nearest neighbours and their distance in Å.
Space group Pm-3m (No. 221)
One atom of each set of equivalent atoms:
Sr 0.0000 0.0000 0.0000 (multiplicity 1)  12 As 3.51
As 0.0000 0.5000 0.5000 (multiplicity 3)  2 S 2.48
S 0.5000 0.5000 0.5000 (multiplicity 1)  6 As 2.48

Properties
magnetization: 0.000 μB/atom



## two
The following is a DFT calculation (PBE) of a geometry-optimized SrAs3S structure.

a = 5.6943 Å, b = 5.6943 Å, c = 5.6943 Å
α = 90.00°, β = 90.00°, γ = 90.00°
Last column: nearest neighbours and their distance in Å.
Space group Pm-3m (No. 221)
One atom of each set of equivalent atoms:
Sr 0.0000 0.0000 0.0000 (multiplicity 1)  6 As 2.85
As 0.0000 0.0000 0.5000 (multiplicity 3)  2 Sr 2.85
S 0.5000 0.5000 0.5000 (multiplicity 1)  12 As 4.03

Properties
magnetization: 0.410 μB/atom



Energies relative to the most stable structure are one 0.0; two 134.3, reported in kJ/mol of atoms.



## one
The following is a DFT calculation (PBE) of a geometry-optimized TaAsS3 structure.

a = 4.6104 Å, b = 4.6104 Å, c = 4.6104 Å
α = 90.00°, β = 90.00°, γ = 90.00°
Last column: nearest neighbours and their distance in Å.
Space group Pm-3m (No. 221)
One atom of each set of equivalent atoms:
Ta 0.0000 0.0000 0.0000 (multiplicity 1)  12 S 3.26
As 0.5000 0.5000 0.5000 (multiplicity 1)  6 S 2.31
S 0.0000 0.5000 0.5000 (multiplicity 3)  2 As 2.31

Properties
magnetization: 0.402 μB/atom



## two
The following is a DFT calculation (PBE) of a geometry-optimized TaAsS3 structure.

a = 4.7940 Å, b = 4.7940 Å, c = 4.7940 Å
α = 90.00°, β = 90.00°, γ = 90.00°
Last column: nearest neighbours and their distance in Å.
Space group Pm-3m (No. 221)
One atom of each set of equivalent atoms:
Ta 0.0000 0.0000 0.0000 (multiplicity 1)  6 S 2.40
As 0.5000 0.5000 0.5000 (multiplicity 1)  12 S 3.39
S 0.0000 0.0000 0.5000 (multiplicity 3)  2 Ta 2.40

Properties
magnetization: 0.367 μB/atom



Energies relative to the most stable structure are one 74.2; two 0.0, reported in kJ/mol of atoms.



## one
The following is a DFT calculation (PBE) of a geometry-optimized Te3AsS structure.

a = 5.4002 Å, b = 5.4002 Å, c = 5.4002 Å
α = 90.00°, β = 90.00°, γ = 90.00°
Last column: nearest neighbours and their distance in Å.
Space group Pm-3m (No. 221)
One atom of each set of equivalent atoms:
Te 0.0000 0.0000 0.5000 (multiplicity 3)  2 As 2.70
As 0.0000 0.0000 0.0000 (multiplicity 1)  6 Te 2.70
S 0.5000 0.5000 0.5000 (multiplicity 1)  12 Te 3.82

Properties
magnetization: 0.189 μB/atom



## two
The following is a DFT calculation (PBE) of a geometry-optimized Te3AsS structure.

a = 5.2235 Å, b = 5.2235 Å, c = 5.2235 Å
α = 90.00°, β = 90.00°, γ = 90.00°
Last column: nearest neighbours and their distance in Å.
Space group Pm-3m (No. 221)
One atom of each set of equivalent atoms:
Te 0.0000 0.0000 0.5000 (multiplicity 3)  2 S 2.61
As 0.5000 0.5000 0.5000 (multiplicity 1)  12 Te 3.69
S 0.0000 0.0000 0.0000 (multiplicity 1)  6 Te 2.61

Properties
magnetization: 0.000 μB/atom



Energies relative to the most stable structure are one 11.5; two 0.0, reported in kJ/mol of atoms.